Computed, not measured: a relaxed ErMgMn crystal at the PBE-GGA level of DFT.

Computed properties:
Symmetry: C2/m, No. 12
Total moment: 0.00 μB/f.u.
Calculated formation energy: 0.07 eV per atom
DOS(E_F): 3.38 states/eV/f.u.

Cell and atoms, written as CIF:
```
data_ErMgMn
_chemical_formula_sum 'Er4 Mg4 Mn4'
_symmetry_space_group_name_H-M 'P 1'
_symmetry_Int_Tables_number 1
_symmetry_space_group_name_Hall 'P 1'
_cell_length_a 14.072
_cell_length_b 3.474
_cell_length_c 5.425
_cell_angle_alpha 90.00
_cell_angle_beta 103.68
_cell_angle_gamma 90.00
loop_
_atom_site_label
_atom_site_type_symbol
_atom_site_fract_x
_atom_site_fract_y
_atom_site_fract_z
Er1 Er 0.141 0.000 0.328
Er2 Er 0.359 0.500 0.672
Er3 Er 0.641 0.500 0.328
Er4 Er 0.859 0.000 0.672
Mg1 Mg 0.074 0.500 0.797
Mg2 Mg 0.426 0.000 0.203
Mg3 Mg 0.574 0.000 0.797
Mg4 Mg 0.926 0.500 0.203
Mn1 Mn 0.236 0.000 0.887
Mn2 Mn 0.264 0.500 0.113
Mn3 Mn 0.736 0.500 0.887
Mn4 Mn 0.764 0.000 0.113
```


Computed, not measured: a relaxed ErMgMn crystal at the PBE-GGA level of DFT.

Computed properties:
Symmetry: I4mm, No. 107
Total moment: 3.02 μB/f.u.
Calculated formation energy: 0.13 eV per atom
DOS(E_F): 2.56 states/eV/f.u.

Cell and atoms, written as CIF:
```
data_ErMgMn
_chemical_formula_sum 'Er2 Mg2 Mn2'
_symmetry_space_group_name_H-M 'P 1'
_symmetry_Int_Tables_number 1
_symmetry_space_group_name_Hall 'P 1'
_cell_length_a 3.346
_cell_length_b 3.346
_cell_length_c 11.739
_cell_angle_alpha 90.00
_cell_angle_beta 90.00
_cell_angle_gamma 90.00
loop_
_atom_site_label
_atom_site_type_symbol
_atom_site_fract_x
_atom_site_fract_y
_atom_site_fract_z
Er1 Er 0.000 0.000 0.000
Er2 Er 0.500 0.500 0.500
Mg1 Mg 0.000 0.000 0.709
Mg2 Mg 0.500 0.500 0.209
Mn1 Mn 0.000 0.000 0.347
Mn2 Mn 0.500 0.500 0.847
```


Computed, not measured: a relaxed ErMgMn4 crystal at the PBE-GGA level of DFT.

Computed properties:
Symmetry: R3m, No. 160
Total moment: 4.54 μB/f.u.
Calculated formation energy: 0.10 eV per atom
DOS(E_F): 6.69 states/eV/f.u.

Cell and atoms, written as CIF:
```
data_ErMgMn4
_chemical_formula_sum 'Er1 Mg1 Mn4'
_symmetry_space_group_name_H-M 'P 1'
_symmetry_Int_Tables_number 1
_symmetry_space_group_name_Hall 'P 1'
_cell_length_a 5.008
_cell_length_b 5.008
_cell_length_c 5.008
_cell_angle_alpha 62.56
_cell_angle_beta 62.56
_cell_angle_gamma 62.56
loop_
_atom_site_label
_atom_site_type_symbol
_atom_site_fract_x
_atom_site_fract_y
_atom_site_fract_z
Er1 Er 0.000 0.000 0.000
Mg1 Mg 0.748 0.748 0.748
Mn1 Mn 0.373 0.373 0.373
Mn2 Mn 0.375 0.375 0.872
Mn3 Mn 0.375 0.872 0.375
Mn4 Mn 0.872 0.375 0.375
```


Computed, not measured: a relaxed Er6MgMn2 crystal at the PBE-GGA level of DFT.

Computed properties:
Symmetry: Immm, No. 71
Total moment: 1.74 μB/f.u.
Calculated formation energy: 0.03 eV per atom
DOS(E_F): 10.41 states/eV/f.u.

Cell and atoms, written as CIF:
```
data_Er6MgMn2
_chemical_formula_sum 'Er12 Mg2 Mn4'
_symmetry_space_group_name_H-M 'P 1'
_symmetry_Int_Tables_number 1
_symmetry_space_group_name_Hall 'P 1'
_cell_length_a 8.380
_cell_length_b 8.380
_cell_length_c 8.380
_cell_angle_alpha 110.74
_cell_angle_beta 110.32
_cell_angle_gamma 107.38
loop_
_atom_site_label
_atom_site_type_symbol
_atom_site_fract_x
_atom_site_fract_y
_atom_site_fract_z
Er1 Er 0.011 0.230 0.781
Er2 Er 0.190 0.286 0.475
Er3 Er 0.190 0.714 0.904
Er4 Er 0.309 0.015 0.706
Er5 Er 0.309 0.603 0.294
Er6 Er 0.449 0.230 0.219
Er7 Er 0.551 0.770 0.781
Er8 Er 0.691 0.397 0.706
Er9 Er 0.691 0.985 0.294
Er10 Er 0.810 0.286 0.096
Er11 Er 0.810 0.714 0.525
Er12 Er 0.989 0.770 0.219
Mg1 Mg 0.000 0.000 0.000
Mg2 Mg 0.500 0.500 0.000
Mn1 Mn 0.105 0.605 0.500
Mn2 Mn 0.385 0.000 0.385
Mn3 Mn 0.615 0.000 0.615
Mn4 Mn 0.895 0.395 0.500
```


Computed, not measured: a relaxed PmErMgMn crystal at the PBE-GGA level of DFT.

Computed properties:
Symmetry: F-43m, No. 216
Total moment: 3.18 μB/f.u.
Calculated formation energy: 0.10 eV per atom
DOS(E_F): 4.88 states/eV/f.u.

Cell and atoms, written as CIF:
```
data_PmErMgMn
_chemical_formula_sum 'Pm4 Er4 Mg4 Mn4'
_symmetry_space_group_name_H-M 'P 1'
_symmetry_Int_Tables_number 1
_symmetry_space_group_name_Hall 'P 1'
_cell_length_a 7.384
_cell_length_b 7.384
_cell_length_c 7.384
_cell_angle_alpha 90.00
_cell_angle_beta 90.00
_cell_angle_gamma 90.00
loop_
_atom_site_label
_atom_site_type_symbol
_atom_site_fract_x
_atom_site_fract_y
_atom_site_fract_z
Pm1 Pm 0.000 0.000 0.000
Pm2 Pm 0.000 0.500 0.500
Pm3 Pm 0.500 0.000 0.500
Pm4 Pm 0.500 0.500 0.000
Er1 Er 0.000 0.000 0.500
Er2 Er 0.000 0.500 0.000
Er3 Er 0.500 0.000 0.000
Er4 Er 0.500 0.500 0.500
Mg1 Mg 0.250 0.250 0.750
Mg2 Mg 0.250 0.750 0.250
Mg3 Mg 0.750 0.250 0.250
Mg4 Mg 0.750 0.750 0.750
Mn1 Mn 0.250 0.250 0.250
Mn2 Mn 0.250 0.750 0.750
Mn3 Mn 0.750 0.250 0.750
Mn4 Mn 0.750 0.750 0.250
```


Computed, not measured: a relaxed PrErMgMn crystal at the PBE-GGA level of DFT.

Computed properties:
Symmetry: F-43m, No. 216
Total moment: 3.20 μB/f.u.
Calculated formation energy: 0.12 eV per atom
DOS(E_F): 5.00 states/eV/f.u.

Cell and atoms, written as CIF:
```
data_PrErMgMn
_chemical_formula_sum 'Pr4 Er4 Mg4 Mn4'
_symmetry_space_group_name_H-M 'P 1'
_symmetry_Int_Tables_number 1
_symmetry_space_group_name_Hall 'P 1'
_cell_length_a 7.441
_cell_length_b 7.441
_cell_length_c 7.441
_cell_angle_alpha 90.00
_cell_angle_beta 90.00
_cell_angle_gamma 90.00
loop_
_atom_site_label
_atom_site_type_symbol
_atom_site_fract_x
_atom_site_fract_y
_atom_site_fract_z
Pr1 Pr 0.000 0.000 0.000
Pr2 Pr 0.000 0.500 0.500
Pr3 Pr 0.500 0.000 0.500
Pr4 Pr 0.500 0.500 0.000
Er1 Er 0.000 0.000 0.500
Er2 Er 0.000 0.500 0.000
Er3 Er 0.500 0.000 0.000
Er4 Er 0.500 0.500 0.500
Mg1 Mg 0.250 0.250 0.250
Mg2 Mg 0.250 0.750 0.750
Mg3 Mg 0.750 0.250 0.750
Mg4 Mg 0.750 0.750 0.250
Mn1 Mn 0.250 0.250 0.750
Mn2 Mn 0.250 0.750 0.250
Mn3 Mn 0.750 0.250 0.250
Mn4 Mn 0.750 0.750 0.750
```


Computed, not measured: a relaxed ErMgMnRu crystal at the PBE-GGA level of DFT.

Computed properties:
Symmetry: F-43m, No. 216
Total moment: 3.45 μB/f.u.
Calculated formation energy: 0.01 eV per atom
DOS(E_F): 2.93 states/eV/f.u.

Cell and atoms, written as CIF:
```
data_ErMgMnRu
_chemical_formula_sum 'Er4 Mg4 Mn4 Ru4'
_symmetry_space_group_name_H-M 'P 1'
_symmetry_Int_Tables_number 1
_symmetry_space_group_name_Hall 'P 1'
_cell_length_a 6.595
_cell_length_b 6.595
_cell_length_c 6.595
_cell_angle_alpha 90.00
_cell_angle_beta 90.00
_cell_angle_gamma 90.00
loop_
_atom_site_label
_atom_site_type_symbol
_atom_site_fract_x
_atom_site_fract_y
_atom_site_fract_z
Er1 Er 0.000 0.000 0.000
Er2 Er 0.000 0.500 0.500
Er3 Er 0.500 0.000 0.500
Er4 Er 0.500 0.500 0.000
Mg1 Mg 0.000 0.000 0.500
Mg2 Mg 0.000 0.500 0.000
Mg3 Mg 0.500 0.000 0.000
Mg4 Mg 0.500 0.500 0.500
Mn1 Mn 0.250 0.250 0.750
Mn2 Mn 0.250 0.750 0.250
Mn3 Mn 0.750 0.250 0.250
Mn4 Mn 0.750 0.750 0.750
Ru1 Ru 0.250 0.250 0.250
Ru2 Ru 0.250 0.750 0.750
Ru3 Ru 0.750 0.250 0.750
Ru4 Ru 0.750 0.750 0.250
```


Computed, not measured: a relaxed ErMgScMn crystal at the PBE-GGA level of DFT.

Computed properties:
Symmetry: F-43m, No. 216
Total moment: 2.85 μB/f.u.
Calculated formation energy: 0.10 eV per atom
DOS(E_F): 5.41 states/eV/f.u.

Cell and atoms, written as CIF:
```
data_ErMgScMn
_chemical_formula_sum 'Er4 Mg4 Sc4 Mn4'
_symmetry_space_group_name_H-M 'P 1'
_symmetry_Int_Tables_number 1
_symmetry_space_group_name_Hall 'P 1'
_cell_length_a 7.078
_cell_length_b 7.078
_cell_length_c 7.078
_cell_angle_alpha 90.00
_cell_angle_beta 90.00
_cell_angle_gamma 90.00
loop_
_atom_site_label
_atom_site_type_symbol
_atom_site_fract_x
_atom_site_fract_y
_atom_site_fract_z
Er1 Er 0.000 0.000 0.000
Er2 Er 0.000 0.500 0.500
Er3 Er 0.500 0.000 0.500
Er4 Er 0.500 0.500 0.000
Mg1 Mg 0.250 0.250 0.250
Mg2 Mg 0.250 0.750 0.750
Mg3 Mg 0.750 0.250 0.750
Mg4 Mg 0.750 0.750 0.250
Sc1 Sc 0.000 0.000 0.500
Sc2 Sc 0.000 0.500 0.000
Sc3 Sc 0.500 0.000 0.000
Sc4 Sc 0.500 0.500 0.500
Mn1 Mn 0.250 0.250 0.750
Mn2 Mn 0.250 0.750 0.250
Mn3 Mn 0.750 0.250 0.250
Mn4 Mn 0.750 0.750 0.750
```


Computed, not measured: a relaxed ErTmMgMo crystal at the PBE-GGA level of DFT.

Computed properties:
Symmetry: F-43m, No. 216
Total moment: 0.22 μB/f.u.
Calculated formation energy: 0.21 eV per atom
DOS(E_F): 5.98 states/eV/f.u.

Cell and atoms, written as CIF:
```
data_ErTmMgMo
_chemical_formula_sum 'Er4 Tm4 Mg4 Mo4'
_symmetry_space_group_name_H-M 'P 1'
_symmetry_Int_Tables_number 1
_symmetry_space_group_name_Hall 'P 1'
_cell_length_a 7.133
_cell_length_b 7.133
_cell_length_c 7.133
_cell_angle_alpha 90.00
_cell_angle_beta 90.00
_cell_angle_gamma 90.00
loop_
_atom_site_label
_atom_site_type_symbol
_atom_site_fract_x
_atom_site_fract_y
_atom_site_fract_z
Er1 Er 0.000 0.000 0.000
Er2 Er 0.000 0.500 0.500
Er3 Er 0.500 0.000 0.500
Er4 Er 0.500 0.500 0.000
Tm1 Tm 0.000 0.000 0.500
Tm2 Tm 0.000 0.500 0.000
Tm3 Tm 0.500 0.000 0.000
Tm4 Tm 0.500 0.500 0.500
Mg1 Mg 0.250 0.250 0.250
Mg2 Mg 0.250 0.750 0.750
Mg3 Mg 0.750 0.250 0.750
Mg4 Mg 0.750 0.750 0.250
Mo1 Mo 0.250 0.250 0.750
Mo2 Mo 0.250 0.750 0.250
Mo3 Mo 0.750 0.250 0.250
Mo4 Mo 0.750 0.750 0.750
```


Computed, not measured: a relaxed ErMgN crystal at the PBE-GGA level of DFT.

Computed properties:
Symmetry: Cmcm, No. 63
Uncorrected formation energy: -16.14 kcal/mol of atoms
Total moment: 0.00 μB/f.u.
DOS(E_F): 0.59 states/eV/f.u.

Cell and atoms, written as CIF:
```
data_ErMgN
_chemical_formula_sum 'Er4 Mg4 N4'
_symmetry_space_group_name_H-M 'P 1'
_symmetry_Int_Tables_number 1
_symmetry_space_group_name_Hall 'P 1'
_cell_length_a 3.267
_cell_length_b 21.686
_cell_length_c 3.080
_cell_angle_alpha 90.00
_cell_angle_beta 90.00
_cell_angle_gamma 90.00
loop_
_atom_site_label
_atom_site_type_symbol
_atom_site_fract_x
_atom_site_fract_y
_atom_site_fract_z
Er1 Er 0.000 0.084 0.250
Er2 Er 0.000 0.916 0.750
Er3 Er 0.500 0.416 0.750
Er4 Er 0.500 0.584 0.250
Mg1 Mg 0.000 0.301 0.750
Mg2 Mg 0.000 0.699 0.250
Mg3 Mg 0.500 0.199 0.250
Mg4 Mg 0.500 0.801 0.750
N1 N 0.000 0.383 0.250
N2 N 0.000 0.617 0.750
N3 N 0.500 0.117 0.750
N4 N 0.500 0.883 0.250
```


Computed, not measured: a relaxed Er3MgN crystal at the PBE-GGA level of DFT.

Computed properties:
Symmetry: Pm-3m, No. 221
Uncorrected formation energy: -16.69 kcal/mol of atoms
Total moment: 0.00 μB/f.u.
DOS(E_F): 5.68 states/eV/f.u.

Cell and atoms, written as CIF:
```
data_Er3MgN
_chemical_formula_sum 'Er3 Mg1 N1'
_symmetry_space_group_name_H-M 'P 1'
_symmetry_Int_Tables_number 1
_symmetry_space_group_name_Hall 'P 1'
_cell_length_a 4.817
_cell_length_b 4.817
_cell_length_c 4.817
_cell_angle_alpha 90.00
_cell_angle_beta 90.00
_cell_angle_gamma 90.00
loop_
_atom_site_label
_atom_site_type_symbol
_atom_site_fract_x
_atom_site_fract_y
_atom_site_fract_z
Er1 Er 0.000 0.000 0.500
Er2 Er 0.000 0.500 0.000
Er3 Er 0.500 0.000 0.000
Mg1 Mg 0.500 0.500 0.500
N1 N 0.000 0.000 0.000
```


Computed, not measured: a relaxed ErMg2NpN4 crystal at the PBE-GGA level of DFT.

Computed properties:
Symmetry: P2/m, No. 10
Uncorrected formation energy: -26.45 kcal/mol of atoms
Total moment: 2.00 μB/f.u.
DOS(E_F): 2.75 states/eV/f.u.

Cell and atoms, written as CIF:
```
data_ErMg2NpN4
_chemical_formula_sum 'Er1 Mg2 Np1 N4'
_symmetry_space_group_name_H-M 'P 1'
_symmetry_Int_Tables_number 1
_symmetry_space_group_name_Hall 'P 1'
_cell_length_a 5.536
_cell_length_b 3.378
_cell_length_c 5.793
_cell_angle_alpha 90.00
_cell_angle_beta 109.49
_cell_angle_gamma 90.00
loop_
_atom_site_label
_atom_site_type_symbol
_atom_site_fract_x
_atom_site_fract_y
_atom_site_fract_z
Er1 Er 0.000 0.000 0.000
Mg1 Mg 0.500 0.000 0.500
Mg2 Mg 0.500 0.500 0.000
Np1 Np 0.000 0.500 0.500
N1 N 0.234 0.500 0.267
N2 N 0.248 0.000 0.742
N3 N 0.752 0.000 0.258
N4 N 0.766 0.500 0.733
```